Compound: Nd6Tm2Sc
Source: the Alexandria database
Functional: PBE
Structure: relaxed

Unit cell a=9.505 b=5.950 c=10.530 alpha=90.00 beta=96.93 gamma=90.00
Space group C2/m (No. 12)
Inequivalent atoms, fractional coordinates:
Nd1 0.002 0.000 0.328
Nd2 0.164 0.500 0.770
Nd3 0.167 0.500 0.103
Tm1 0.169 0.500 0.441
Sc1 0.000 0.000 0.000

**E_tot**: -4.759 eV per atom